SrRePO | PBE-GGA | optimized geometry

Geometry as CIF:
```
data_SrRePO
_chemical_formula_sum 'Sr2 Re2 P2 O2'
_symmetry_space_group_name_H-M 'P 4/n m m'
_symmetry_Int_Tables_number 129
_cell_length_a 4.2574
_cell_length_b 4.2574
_cell_length_c 7.3319
_cell_angle_alpha 90.00
_cell_angle_beta 90.00
_cell_angle_gamma 90.00
loop_
_symmetry_equiv_pos_as_xyz
'x,y,z'
'-x,-y,-z'
'-y+1/2,x,z'
'y+1/2,-x,-z'
'-x+1/2,-y+1/2,z'
'x+1/2,y+1/2,-z'
'y,-x+1/2,z'
'-y,x+1/2,-z'
'x+1/2,-y,-z'
'-x+1/2,y,z'
'-y,-x,-z'
'y,x,z'
'-x,y+1/2,-z'
'x,-y+1/2,z'
'y+1/2,x+1/2,-z'
'-y+1/2,-x+1/2,z'
loop_
_atom_site_label
_atom_site_fract_x
_atom_site_fract_y
_atom_site_fract_z
Sr1 0.2500 0.7500 0.0000
Re1 0.2500 0.2500 0.4070
P1 0.2500 0.2500 0.7227
O1 0.2500 0.7500 0.5000
```

Values from the calculation:
* magnetic moment: 0.4 Bohr magnetons per cell
* energy above the most stable polymorph in this dataset: 1.372 eV per atom
* crystal system: tetragonal
* E: -46.37 eV per cell